[1]
## KTbAlS3 (PBE-GGA)

Data for a relaxed KTbAlS3 crystal.

CIF file:
```
data_KTbAlS3
_cell_length_a 3.9539
_cell_length_b 14.3926
_cell_length_c 10.6748
_cell_angle_alpha 90.00
_cell_angle_beta 90.00
_cell_angle_gamma 90.00
_space_group_name_H-M_alt 'C m c m'
_space_group_IT_number 63
_space_group_name_Hall '-C 2c 2'
loop_
_atom_site_label
_atom_site_type_symbol
_atom_site_fract_x
_atom_site_fract_y
_atom_site_fract_z
K1 K 0.0000 0.2406 0.2500
Tb1 Tb 0.0000 0.5000 0.0000
Al1 Al 0.0000 0.0353 0.7500
S1 S 0.0000 0.1275 0.5788
S2 S 0.0000 0.4454 0.7500
```

Results
Its theoretical density is 3.51 g cm⁻³. The energy above the most stable polymorph in this dataset comes out at 0.00 kJ per mole of atoms.

=====

[2]
## DyB4As (PBE-GGA)

Data for a relaxed DyB4As crystal.

CIF file:
```
data_DyB4As
_cell_length_a 3.1745
_cell_length_b 3.1745
_cell_length_c 7.6266
_cell_angle_alpha 90.00
_cell_angle_beta 90.00
_cell_angle_gamma 120.00
_space_group_name_H-M_alt 'P 6/m m m'
_space_group_IT_number 191
_space_group_name_Hall '-P 6 2'
loop_
_atom_site_label
_atom_site_type_symbol
_atom_site_fract_x
_atom_site_fract_y
_atom_site_fract_z
Dy1 Dy 0.0000 0.0000 0.0000
B1 B 0.3333 0.6667 0.2552
As1 As 0.0000 0.0000 0.5000
```

Results
Its theoretical density is 7.00 g cm⁻³. The energy above the most stable polymorph in this dataset comes out at 13.02 kJ per mole of atoms.

=====

[3]
## LuSbAs (PBE-GGA)

Data for a relaxed LuSbAs crystal.

CIF file:
```
data_LuSbAs
_cell_length_a 6.8444
_cell_length_b 6.8444
_cell_length_c 6.8444
_cell_angle_alpha 90.00
_cell_angle_beta 90.00
_cell_angle_gamma 90.00
_space_group_name_H-M_alt 'F -4 3 m'
_space_group_IT_number 216
_space_group_name_Hall 'F -4 2 3'
loop_
_atom_site_label
_atom_site_type_symbol
_atom_site_fract_x
_atom_site_fract_y
_atom_site_fract_z
Lu1 Lu 0.0000 0.0000 0.0000
Sb1 Sb 0.0000 0.0000 0.5000
As1 As 0.2500 0.2500 0.2500
```

Results
Its theoretical density is 7.70 g cm⁻³. The energy above the most stable polymorph in this dataset comes out at 0.00 kJ per mole of atoms.

=====

[4]
## Sm2Er2O5 (PBE-GGA)

Data for a relaxed Sm2Er2O5 crystal.

CIF file:
```
data_Sm2Er2O5
_cell_length_a 4.2799
_cell_length_b 4.2799
_cell_length_c 7.6083
_cell_angle_alpha 90.00
_cell_angle_beta 90.00
_cell_angle_gamma 90.00
_space_group_name_H-M_alt 'P 4/m m m'
_space_group_IT_number 123
_space_group_name_Hall '-P 4 2'
loop_
_atom_site_label
_atom_site_type_symbol
_atom_site_fract_x
_atom_site_fract_y
_atom_site_fract_z
Sm1 Sm 0.0000 0.0000 0.0000
Sm2 Sm 0.0000 0.0000 0.5000
Er1 Er 0.5000 0.5000 0.2271
O1 O 0.0000 0.5000 0.2409
O2 O 0.5000 0.5000 0.5000
```

Results
Its theoretical density is 8.52 g cm⁻³. The energy above the most stable polymorph in this dataset comes out at 5.93 kJ per mole of atoms.

=====

[5]
## TaHg4P3 (PBE-GGA)

Data for a relaxed TaHg4P3 crystal.

CIF file:
```
data_TaHg4P3
_cell_length_a 3.3156
_cell_length_b 3.6320
_cell_length_c 16.7247
_cell_angle_alpha 86.93
_cell_angle_beta 84.51
_cell_angle_gamma 62.84
_space_group_name_H-M_alt 'P 1'
_space_group_IT_number 1
loop_
_space_group_symop_operation_xyz
'x,y,z'
loop_
_atom_site_label
_atom_site_type_symbol
_atom_site_fract_x
_atom_site_fract_y
_atom_site_fract_z
Ta1 Ta 0.0000 0.0000 0.0000
Hg1 Hg 0.1764 0.3331 0.3152
Hg2 Hg 0.4115 0.8025 0.4671
Hg3 Hg 0.5379 0.2983 0.6169
Hg4 Hg 0.7586 0.7163 0.7567
P1 P 0.6539 0.6000 0.0956
P2 P 0.7185 0.6475 0.9115
P3 P 0.9985 0.8376 0.1706
```

Results
Its theoretical density is 10.02 g cm⁻³. The energy above the most stable polymorph in this dataset comes out at 2.43 kJ per mole of atoms.

=====

[6]
## FeSnHgTe3 (PBE-GGA)

Data for a relaxed FeSnHgTe3 crystal.

CIF file:
```
data_FeSnHgTe3
_cell_length_a 3.8175
_cell_length_b 17.6183
_cell_length_c 10.1048
_cell_angle_alpha 90.00
_cell_angle_beta 90.00
_cell_angle_gamma 90.00
_space_group_name_H-M_alt 'C m c m'
_space_group_IT_number 63
_space_group_name_Hall '-C 2c 2'
loop_
_atom_site_label
_atom_site_type_symbol
_atom_site_fract_x
_atom_site_fract_y
_atom_site_fract_z
Fe1 Fe 0.0000 0.0000 0.0000
Sn1 Sn 0.0000 0.3342 0.2500
Hg1 Hg 0.0000 0.2947 0.7500
Te1 Te 0.0000 0.0306 0.7500
Te2 Te 0.0000 0.4022 0.5267
```

Results
Its theoretical density is 7.41 g cm⁻³. The energy above the most stable polymorph in this dataset comes out at 0.00 kJ per mole of atoms.

=====

[7]
## HfZrCdC (PBE-GGA)

Data for a relaxed HfZrCdC crystal.

CIF file:
```
data_HfZrCdC
_cell_length_a 3.3131
_cell_length_b 3.3131
_cell_length_c 15.2682
_cell_angle_alpha 90.00
_cell_angle_beta 90.00
_cell_angle_gamma 120.00
_space_group_name_H-M_alt 'P -3 m 1'
_space_group_IT_number 164
_space_group_name_Hall '-P 3 2"'
loop_
_atom_site_label
_atom_site_type_symbol
_atom_site_fract_x
_atom_site_fract_y
_atom_site_fract_z
Hf1 Hf 0.3333 0.6667 0.0806
Zr1 Zr 0.3333 0.6667 0.4174
Cd1 Cd 0.3333 0.6667 0.7522
C1 C 0.0000 0.0000 0.0000
C2 C 0.0000 0.0000 0.5000
```

Results
Its theoretical density is 9.02 g cm⁻³. The energy above the most stable polymorph in this dataset comes out at 0.20 kJ per mole of atoms.

=====

[8]
## LiAlAg2 (PBE-GGA)

Data for a relaxed LiAlAg2 crystal.

CIF file:
```
data_LiAlAg2
_cell_length_a 6.3969
_cell_length_b 6.3969
_cell_length_c 6.3969
_cell_angle_alpha 90.00
_cell_angle_beta 90.00
_cell_angle_gamma 90.00
_space_group_name_H-M_alt 'F -4 3 m'
_space_group_IT_number 216
_space_group_name_Hall 'F -4 2 3'
loop_
_atom_site_label
_atom_site_type_symbol
_atom_site_fract_x
_atom_site_fract_y
_atom_site_fract_z
Li1 Li 0.0000 0.0000 0.0000
Al1 Al 0.2500 0.2500 0.7500
Ag1 Ag 0.0000 0.0000 0.5000
Ag2 Ag 0.2500 0.2500 0.2500
```

Results
Its theoretical density is 6.34 g cm⁻³. For the final energy, the calculation gives -2.98 eV per atom.

=====

[9]
## FeSiPd (PBE-GGA)

Data for a relaxed FeSiPd crystal.

CIF file:
```
data_FeSiPd
_cell_length_a 6.1248
_cell_length_b 6.1248
_cell_length_c 3.9539
_cell_angle_alpha 90.00
_cell_angle_beta 90.00
_cell_angle_gamma 120.00
_space_group_name_H-M_alt 'P -6 2 m'
_space_group_IT_number 189
_space_group_name_Hall 'P -6 -2'
loop_
_atom_site_label
_atom_site_type_symbol
_atom_site_fract_x
_atom_site_fract_y
_atom_site_fract_z
Fe1 Fe 0.0000 0.5198 0.0000
Si1 Si 0.0000 0.2499 0.5000
Pd1 Pd 0.0000 0.0000 0.0000
Pd2 Pd 0.3333 0.6667 0.5000
```

Results
Its theoretical density is 7.38 g cm⁻³. For the final energy, the calculation gives -6.34 eV per atom.

=====

[10]
## YScIn2Pt4 (PBE-GGA)

Data for a relaxed YScIn2Pt4 crystal.

CIF file:
```
data_YScIn2Pt4
_cell_length_a 4.5435
_cell_length_b 4.5435
_cell_length_c 8.8395
_cell_angle_alpha 90.00
_cell_angle_beta 90.00
_cell_angle_gamma 120.00
_space_group_name_H-M_alt 'P -6 m 2'
_space_group_IT_number 187
_space_group_name_Hall 'P -6 2'
loop_
_atom_site_label
_atom_site_type_symbol
_atom_site_fract_x
_atom_site_fract_y
_atom_site_fract_z
Y1 Y 0.0000 0.0000 0.0000
Sc1 Sc 0.3333 0.6667 0.5000
In1 In 0.6667 0.3333 0.2583
Pt1 Pt 0.0000 0.0000 0.3463
Pt2 Pt 0.3333 0.6667 0.1638
```

Results
Its theoretical density is 12.02 g cm⁻³. For the final energy, the calculation gives -6.23 eV per atom.

=====

[11]
## Rb2Nd2O5 (PBE-GGA)

Data for a relaxed Rb2Nd2O5 crystal.

CIF file:
```
data_Rb2Nd2O5
_cell_length_a 4.4868
_cell_length_b 4.4868
_cell_length_c 7.9144
_cell_angle_alpha 90.00
_cell_angle_beta 90.00
_cell_angle_gamma 90.00
_space_group_name_H-M_alt 'P 4/m m m'
_space_group_IT_number 123
_space_group_name_Hall '-P 4 2'
loop_
_atom_site_label
_atom_site_type_symbol
_atom_site_fract_x
_atom_site_fract_y
_atom_site_fract_z
Rb1 Rb 0.0000 0.0000 0.1950
Nd1 Nd 0.5000 0.5000 0.0000
Nd2 Nd 0.5000 0.5000 0.5000
O1 O 0.0000 0.0000 0.5000
O2 O 0.0000 0.5000 0.1834
```

Results
Its theoretical density is 5.62 g cm⁻³. The energy above the most stable polymorph in this dataset comes out at 112.66 kJ per mole of atoms.

=====

[12]
## SrGe2OsO7 (PBE-GGA)

Data for a relaxed SrGe2OsO7 crystal.

CIF file:
```
data_SrGe2OsO7
_cell_length_a 7.1100
_cell_length_b 8.4491
_cell_length_c 4.7982
_cell_angle_alpha 90.00
_cell_angle_beta 98.22
_cell_angle_gamma 90.00
_space_group_name_H-M_alt 'C 1 2 1'
_space_group_IT_number 5
loop_
_space_group_symop_operation_xyz
'x,y,z'
'-x,y,-z'
'x+1/2,y+1/2,z'
'-x+1/2,y+1/2,-z'
loop_
_atom_site_label
_atom_site_type_symbol
_atom_site_fract_x
_atom_site_fract_y
_atom_site_fract_z
Sr1 Sr 0.0000 0.0000 0.0000
Ge1 Ge 0.2216 0.2587 0.4361
Os1 Os 0.0000 0.5880 0.0000
O1 O 0.0000 0.1702 0.5000
O2 O 0.1234 0.7676 0.2446
O3 O 0.1891 0.4336 0.2390
O4 O 0.2015 0.5983 0.7636
```

Results
Its theoretical density is 6.23 g cm⁻³. For the final energy, the calculation gives -6.77 eV per atom.